[1]
Below is an optimized crystal structure of HfPOsO, with properties calculated at the GGA-PBE level.

Lattice parameters (Å, degrees): 4.0098 4.0098 6.6894 90.00 90.00 90.00
Fractional positions:
P1 0.5000 0.0000 0.3178
P2 0.0000 0.5000 0.6822
O1 0.5000 0.5000 0.0000
O2 0.0000 0.0000 0.0000
Hf1 0.5000 0.0000 0.8656
Hf2 0.0000 0.5000 0.1344
Os1 0.5000 0.5000 0.5000
Os2 0.0000 0.0000 0.5000

Results
Distance to the lowest polymorph of the same formula: 0 meV/atom

[2]
Below is an optimized crystal structure of AsIrOsO, with properties calculated at the GGA-PBE level.

Lattice parameters (Å, degrees): 3.9566 5.6341 5.4121 90.00 90.00 90.00
Fractional positions:
As1 0.0000 0.2978 0.3935
As2 0.0000 0.7022 0.8935
O1 0.5000 0.2636 0.8601
O2 0.5000 0.7364 0.3601
Ir1 0.0000 0.7338 0.4537
Ir2 0.0000 0.2662 0.9537
Os1 0.5000 0.9376 0.0468
Os2 0.5000 0.0624 0.5468

Results
Distance to the lowest polymorph of the same formula: 0 meV/atom

[3]
Below is an optimized crystal structure of DyNbN2O, with properties calculated at the GGA-PBE level.

Lattice parameters (Å, degrees): 7.9085 7.9241 11.0135 90.00 133.69 90.00
Fractional positions:
N1 0.3090 0.9488 0.3096
N2 0.1843 0.0619 0.5002
N3 0.5381 0.2531 0.8190
N4 0.0348 0.2540 0.2165
N5 0.4619 0.7531 0.6810
N6 0.4619 0.7469 0.1810
N7 0.3090 0.5512 0.8096
N8 0.9652 0.7540 0.2835
N9 0.8157 0.9381 0.4998
N10 0.6910 0.0512 0.6904
N11 0.6910 0.4488 0.1904
N12 0.5381 0.2469 0.3190
N13 0.9652 0.7460 0.7835
N14 0.0348 0.2460 0.7165
N15 0.1843 0.4381 0.0002
N16 0.8157 0.5619 0.9998
Dy1 0.0580 0.7661 0.0298
Dy2 0.4397 0.2381 0.9715
Dy3 0.4397 0.2619 0.4715
Dy4 0.5603 0.7381 0.5285
Dy5 0.9420 0.2339 0.9702
Dy6 0.9420 0.2661 0.4702
Dy7 0.5603 0.7619 0.0285
Dy8 0.0580 0.7339 0.5298
Nb1 0.9798 0.4896 0.2332
Nb2 0.4830 0.5000 0.2268
Nb3 0.5170 0.0000 0.2732
Nb4 0.0202 0.5104 0.7668
Nb5 0.5170 0.5000 0.7732
Nb6 0.9798 0.0104 0.7332
Nb7 0.0202 0.9896 0.2668
Nb8 0.4830 0.0000 0.7268
O1 0.6818 0.4499 0.6801
O2 0.3182 0.9499 0.8199
O3 0.1880 0.0459 0.9984
O4 0.3182 0.5501 0.3199
O5 0.8120 0.9541 0.0016
O6 0.6818 0.0501 0.1801
O7 0.1880 0.4541 0.4984
O8 0.8120 0.5459 0.5016

Results
Total energy: -362.04 eV/cell

[4]
Below is an optimized crystal structure of Er2LuNi4Ge4, with properties calculated at the GGA-PBE level.

Lattice parameters (Å, degrees): 7.7593 7.7593 7.7593 149.70 129.08 60.41
Fractional positions:
Ge1 0.3056 0.5000 0.8056
Ge2 0.7826 0.7826 0.0000
Ge3 0.2174 0.2174 0.0000
Ge4 0.6944 0.5000 0.1944
Er1 0.6291 0.1291 0.5000
Er2 0.3709 0.8709 0.5000
Ni1 0.3690 0.6753 0.6937
Ni2 0.6310 0.3247 0.3063
Ni3 0.0185 0.3247 0.6937
Ni4 0.9815 0.6753 0.3063
Lu1 0.0000 0.0000 0.0000

Results
Total energy: -62.50 eV/cell

[5]
Below is an optimized crystal structure of GdErBC2, with properties calculated at the GGA-PBE level.

Lattice parameters (Å, degrees): 6.0517 6.0517 6.0517 145.14 145.14 50.13
Fractional positions:
C1 0.8648 0.8648 0.0000
C2 0.1370 0.1370 0.0000
B1 0.0012 0.0012 0.0000
Gd1 0.6467 0.6467 0.0000
Er1 0.3503 0.3503 0.0000

Results
Total energy: -36.55 eV/cell

[6]
Below is an optimized crystal structure of CuAg3, with properties calculated at the GGA-PBE level.

Lattice parameters (Å, degrees): 6.3848 6.3848 4.9394 104.97 104.97 126.83
Fractional positions:
Ag1 0.8105 0.1895 0.2500
Ag2 0.3216 0.6784 0.2500
Ag3 0.1895 0.8105 0.7500
Ag4 0.6784 0.3216 0.7500
Ag5 0.9408 0.0592 0.7500
Ag6 0.0592 0.9409 0.2500
Cu1 0.4401 0.5599 0.7500
Cu2 0.5599 0.4401 0.2500

Results
Energy of formation: 0.284 eV per formula unit

[7]
Below is an optimized crystal structure of TaNb3Al2C2, with properties calculated at the GGA-PBE level.

Lattice parameters (Å, degrees): 3.1202 3.1202 13.9327 90.00 90.00 120.00
Fractional positions:
Al1 0.6667 0.3333 0.7499
Al2 0.3333 0.6667 0.2499
C1 0.0000 0.0000 0.4999
C2 0.0000 0.0000 0.0010
Nb1 0.6667 0.3333 0.4101
Nb2 0.3333 0.6667 0.9105
Nb3 0.3333 0.6667 0.5895
Ta1 0.6667 0.3333 0.0893

Results
Total energy: -72.20 eV/cell

[8]
Below is an optimized crystal structure of Lu2AlOs, with properties calculated at the GGA-PBE level.

Lattice parameters (Å, degrees): 4.7506 4.7506 4.7506 60.00 60.00 60.00
Fractional positions:
Lu1 0.0000 0.0000 0.0000
Lu2 0.7500 0.7500 0.7500
Al1 0.5000 0.5000 0.5000
Os1 0.2500 0.2500 0.2500

Results
Distance to the lowest polymorph of the same formula: 137 meV/atom

[9]
Below is an optimized crystal structure of Zr2AsPd, with properties calculated at the GGA-PBE level.

Lattice parameters (Å, degrees): 4.7422 4.7422 4.7422 60.00 60.00 60.00
Fractional positions:
Zr1 0.7500 0.7500 0.7500
Zr2 0.0000 0.0000 0.0000
As1 0.5000 0.5000 0.5000
Pd1 0.2500 0.2500 0.2500

Results
Total energy: -27.29 eV/cell

[10]
Below is an optimized crystal structure of AcCdO3, with properties calculated at the GGA-PBE level.

Lattice parameters (Å, degrees): 6.0854 6.1690 8.7561 90.00 90.00 90.00
Fractional positions:
O1 0.6439 0.1352 0.7500
O2 0.1577 0.1596 0.5770
O3 0.8423 0.8404 0.4230
O4 0.1439 0.3648 0.2500
O5 0.8423 0.8404 0.0770
O6 0.1577 0.1596 0.9230
O7 0.6577 0.3404 0.4230
O8 0.3423 0.6596 0.5770
O9 0.8561 0.6352 0.7500
O10 0.3561 0.8648 0.2500
O11 0.6577 0.3404 0.0770
O12 0.3423 0.6596 0.9230
Ac1 0.5000 0.0000 0.0000
Ac2 0.0000 0.5000 0.5000
Ac3 0.5000 0.0000 0.5000
Ac4 0.0000 0.5000 0.0000
Cd1 0.9805 0.9714 0.7500
Cd2 0.5195 0.4714 0.7500
Cd3 0.0195 0.0286 0.2500
Cd4 0.4805 0.5286 0.2500

Results
Total energy: -116.42 eV/cell

[11]
Below is an optimized crystal structure of AlOs3, with properties calculated at the GGA-PBE level.

Lattice parameters (Å, degrees): 4.7652 4.7652 4.7652 132.86 132.86 68.88
Fractional positions:
Al1 0.0000 0.0000 0.0000
Os1 0.2500 0.7500 0.5000
Os2 0.7500 0.2500 0.5000
Os3 0.5000 0.5000 0.0000

Results
Total energy: -37.17 eV/cell

[12]
Below is an optimized crystal structure of NdCo3, with properties calculated at the GGA-PBE level.

Lattice parameters (Å, degrees): 5.0159 5.0159 8.7453 106.67 73.33 120.00
Fractional positions:
Nd1 0.1400 0.8600 0.5800
Nd2 0.0000 0.0000 0.0000
Nd3 0.8600 0.1400 0.4200
Co1 0.4211 0.0807 0.2384
Co2 0.5000 0.5000 0.5000
Co3 0.3334 0.6666 0.9998
Co4 0.6666 0.3334 0.0002
Co5 0.5789 0.4211 0.7616
Co6 0.0807 0.4211 0.7616
Co7 0.9193 0.5789 0.2384
Co8 0.4211 0.5789 0.2384
Co9 0.5789 0.9193 0.7616

Results
Energy of formation: 0.064 eV per formula unit

[13]
Below is an optimized crystal structure of LaYSi4Os2, with properties calculated at the GGA-PBE level.

Lattice parameters (Å, degrees): 4.4825 4.1449 8.2365 90.00 102.13 90.00
Fractional positions:
Si1 0.3341 0.0000 0.0076
Si2 0.6667 0.5000 0.9985
Si3 0.0388 0.5000 0.5893
Si4 0.9616 0.0000 0.4074
Os1 0.1186 0.5000 0.8885
Os2 0.8834 0.0000 0.1159
Y1 0.4077 0.5000 0.2944
La1 0.5890 0.0000 0.6985

Results
Total energy: -61.46 eV/cell

[14]
Below is an optimized crystal structure of KGa2Pt2, with properties calculated at the GGA-PBE level.

Lattice parameters (Å, degrees): 6.3006 6.4715 7.1142 77.60 63.76 60.93
Fractional positions:
Pt1 0.9881 0.7499 0.5241
Pt2 0.7618 0.7500 0.9762
Pt3 0.0119 0.2501 0.4759
Pt4 0.2382 0.2500 0.0238
Ga1 0.0596 0.3807 0.7501
Ga2 0.3096 0.8808 0.2500
Ga3 0.9404 0.6193 0.2499
Ga4 0.6904 0.1192 0.7500
K1 0.3751 0.7499 0.7499
K2 0.6249 0.2501 0.2501

Results
Distance to the lowest polymorph of the same formula: 0 meV/atom

[15]
Below is an optimized crystal structure of RbNaPu, with properties calculated at the GGA-PBE level.

Lattice parameters (Å, degrees): 6.0902 6.0902 6.0902 60.00 60.00 60.00
Fractional positions:
Rb1 0.7500 0.7500 0.7500
Pu1 0.2500 0.2500 0.2500
Na1 0.0000 0.0000 0.0000

Results
Distance to the lowest polymorph of the same formula: 0 meV/atom

[16]
Below is an optimized crystal structure of Tb2CuGe2Au, with properties calculated at the GGA-PBE level.

Lattice parameters (Å, degrees): 4.3909 4.3909 7.2907 90.00 90.00 120.00
Fractional positions:
Au1 0.0000 0.0000 0.4599
Cu1 0.6667 0.3333 0.9615
Ge1 0.6667 0.3333 0.5409
Ge2 0.0000 0.0000 0.0222
Tb1 0.3333 0.6667 0.2431
Tb2 0.3333 0.6667 0.7513

Results
Total energy: -30.00 eV/cell

[17]
Below is an optimized crystal structure of CdBiSbO, with properties calculated at the GGA-PBE level.

Lattice parameters (Å, degrees): 6.4400 6.8394 8.4705 90.00 90.00 90.00
Fractional positions:
Cd1 0.6386 0.2247 0.4858
Cd2 0.1386 0.7753 0.0142
Cd3 0.8614 0.7247 0.5142
Cd4 0.3614 0.2753 0.9858
Bi1 0.6740 0.9200 0.1082
Bi2 0.1740 0.0800 0.3918
Bi3 0.8260 0.4200 0.8918
Bi4 0.3260 0.5800 0.6082
Sb1 0.0117 0.4743 0.2556
Sb2 0.9883 0.0257 0.7556
Sb3 0.5117 0.5257 0.2444
Sb4 0.4883 0.9743 0.7444
O1 0.8151 0.9932 0.3466
O2 0.1849 0.5067 0.8466
O3 0.3151 0.0067 0.1534
O4 0.6849 0.4933 0.6534

Results
Distance to the lowest polymorph of the same formula: 114 meV/atom

[18]
Below is an optimized crystal structure of La2DyZn2Si4Ag2, with properties calculated at the GGA-PBE level.

Lattice parameters (Å, degrees): 13.0300 13.0300 13.0300 161.65 160.94 26.58
Fractional positions:
Si1 0.1933 0.6933 0.5000
Si2 0.5458 0.5458 0.0000
Si3 0.4542 0.4542 0.0000
Si4 0.8067 0.3067 0.5000
Ag1 0.0933 0.5933 0.5000
Ag2 0.9067 0.4067 0.5000
Zn1 0.2502 0.2502 0.0000
Zn2 0.7498 0.7498 0.0000
La1 0.6476 0.1476 0.5000
La2 0.3524 0.8524 0.5000
Dy1 0.0000 0.0000 0.0000

Results
Total energy: -50.10 eV/cell

[19]
Below is an optimized crystal structure of DyHoGa2Cu4, with properties calculated at the GGA-PBE level.

Lattice parameters (Å, degrees): 4.2659 4.2659 8.6319 90.00 90.00 120.00
Fractional positions:
Cu1 0.6667 0.3333 0.8287
Cu2 0.0000 0.0000 0.3312
Cu3 0.0000 0.0000 0.6688
Cu4 0.6667 0.3333 0.1713
Ga1 0.3333 0.6667 0.7492
Ga2 0.3333 0.6667 0.2508
Ho1 0.6667 0.3333 0.5000
Dy1 0.0000 0.0000 0.0000

Results
Total energy: -33.07 eV/cell

[20]
Below is an optimized crystal structure of K2ThP3Se9, with properties calculated at the GGA-PBE level.

Lattice parameters (Å, degrees): 10.5097 7.9508 22.7232 90.00 113.64 90.00
Fractional positions:
K1 0.7584 0.0863 0.4996
K2 0.4423 0.1008 0.1765
K3 0.5577 0.6008 0.3235
K4 0.2416 0.5863 0.0004
K5 0.5577 0.8992 0.8235
K6 0.4423 0.3992 0.6765
K7 0.7584 0.4137 0.9996
K8 0.2416 0.9137 0.5004
Se1 0.7374 0.9791 0.9938
Se2 0.2626 0.4791 0.5062
Se3 0.7242 0.6712 0.7268
Se4 0.2932 0.7189 0.3830
Se5 0.4271 0.9685 0.6576
Se6 0.9224 0.8028 0.8933
Se7 0.0197 0.7056 0.0663
Se8 0.7926 0.1772 0.7876
Se9 0.2074 0.6772 0.7124
Se10 0.3626 0.2848 0.9316
Se11 0.3626 0.2152 0.4316
Se12 0.0776 0.3028 0.6067
Se13 0.9803 0.2944 0.9337
Se14 0.4271 0.5315 0.1576
Se15 0.0185 0.4547 0.7908
Se16 0.2626 0.0209 0.0062
Se17 0.7242 0.8288 0.2268
Se18 0.9803 0.2056 0.4337
Se19 0.2758 0.1712 0.7732
Se20 0.2074 0.8228 0.2124
Se21 0.0776 0.1972 0.1067
Se22 0.0197 0.7944 0.5663
Se23 0.9815 0.5453 0.2092
Se24 0.0185 0.0453 0.2908
Se25 0.2758 0.3288 0.2732
Se26 0.7068 0.2811 0.6170
Se27 0.9224 0.6972 0.3933
Se28 0.6374 0.7848 0.5684
Se29 0.7926 0.3228 0.2876
Se30 0.5729 0.0315 0.3424
Se31 0.2932 0.7811 0.8830
Se32 0.5729 0.4685 0.8424
Se33 0.9815 0.9547 0.7092
Se34 0.7374 0.5209 0.4938
Se35 0.6374 0.7152 0.0684
Se36 0.7068 0.2189 0.1170
Th1 0.8968 0.5915 0.6456
Th2 0.8968 0.9085 0.1456
Th3 0.1032 0.0915 0.8544
Th4 0.1032 0.4085 0.3544
P1 0.6213 0.8756 0.6587
P2 0.3787 0.3756 0.8413
P3 0.7801 0.0871 0.6936
P4 0.2199 0.9129 0.3064
P5 0.6213 0.6244 0.1587
P6 0.9295 0.6122 0.4862
P7 0.9295 0.8878 0.9862
P8 0.0705 0.3878 0.5138
P9 0.3787 0.1244 0.3413
P10 0.7801 0.4129 0.1936
P11 0.0705 0.1122 0.0138
P12 0.2199 0.5871 0.8064

Results
Distance to the lowest polymorph of the same formula: 0 meV/atom